Computed, not measured: a relaxed ZnAgOs2O8 crystal at the PBE level of DFT.

## Properties
* space group: No. 147
* formation energy from raw total energies: -751.8 meV/atom
* ρ: 5.9 g/cm3
* M_tot: 2.95 μB per formula unit

a b c (Å): 5.8304 5.8304 6.4885
angles (deg): 90.00 90.00 120.00
With the nearest neighbours (Å) after each atom.
Sites, in units of the cell vectors:
Zn1 0.0000 0.0000 0.0000  6 O 2.10
Ag1 0.0000 0.0000 0.5000  6 O 2.52
Os1 0.3333 0.6667 0.2751  4 O 1.76-1.80
Os2 0.6667 0.3333 0.7249  4 O 1.76-1.80
O1 0.1585 0.3227 0.2033  1 Os 1.80
O2 0.1642 0.8415 0.2033  1 Os 1.80
O3 0.3227 0.1642 0.7967  1 Os 1.80
O4 0.3333 0.6667 0.5469  1 Os 1.76
O5 0.6667 0.3333 0.4531  1 Os 1.76
O6 0.6773 0.8358 0.2033  1 Os 1.80
O7 0.8358 0.1585 0.7967  1 Os 1.80
O8 0.8415 0.6773 0.7967  1 Os 1.80